Entry 1:
VASP calculation (PBE-GGA) on Cs2HfS4 after structural relaxation.

## Properties
The distance to the lowest polymorph of the same formula is 0 meV/atom. For the density of states at the Fermi level, the calculation gives 5.8 states/eV/f.u. Its uncorrected formation energy is -1055 meV/atom. The raw total energy is -5.0792 eV per atom.

Lattice parameters (Å, degrees): 5.0980 5.0980 17.6858 90.00 90.00 90.00
Space group I4/mmm (No. 139)
Inequivalent atoms, fractional coordinates:
Cs 0.0000 0.0000 0.1499
Hf 0.0000 0.0000 0.5000
S 0.0000 0.0000 0.3599
S 0.0000 0.5000 0.0000

***

Entry 2:
VASP calculation (PBE-GGA) on Cs5HfS4 after structural relaxation.

## Properties
For the density of states at the Fermi level, the calculation gives 2.5 states/eV/f.u. Its uncorrected formation energy is -1207 meV/atom. The raw total energy is -4.2804 eV per atom.

Lattice parameters (Å, degrees): 10.1842 11.0816 8.1351 90.00 90.00 90.00
Space group Pmmn (No. 59, origin choice 2)
Inequivalent atoms, fractional coordinates:
Cs 0.0030 0.0636 0.2323
Cs 0.2500 0.2500 0.6630
Hf 0.2500 0.7500 0.3089
S 0.0557 0.7500 0.1393
S 0.2500 0.5692 0.4750

***

Entry 3:
VASP calculation (PBE-GGA) on CsHf3S6 after structural relaxation.

## Properties
For the density of states at the Fermi level, the calculation gives 3.2 states/eV/f.u. Its uncorrected formation energy is -1506 meV/atom. The raw total energy is -7.0540 eV per atom.

Lattice parameters (Å, degrees): 11.6486 3.6666 11.6790 90.00 106.99 90.00
Space group P2_1/m (No. 11)
Inequivalent atoms, fractional coordinates:
Cs 0.1234 0.2500 0.4033
Hf 0.1488 0.7500 0.0390
Hf 0.2416 0.2500 0.8106
Hf 0.4648 0.2500 0.3472
S 0.0443 0.2500 0.8806
S 0.1675 0.7500 0.6624
S 0.2530 0.2500 0.1835
S 0.3299 0.7500 0.9624
S 0.3735 0.7500 0.4488
S 0.4418 0.2500 0.7426

***

Entry 4:
VASP calculation (PBE-GGA) on Cs2HfSb2S6 after structural relaxation.

## Properties
Its uncorrected formation energy is -846 meV/atom. The raw total energy is -4.9073 eV per atom.

Lattice parameters (Å, degrees): 11.0776 7.3076 8.7647 90.00 106.59 90.00
Space group C2/m (No. 12)
Inequivalent atoms, fractional coordinates:
Cs 0.1893 0.0000 0.1085
Hf 0.0000 0.0000 0.5000
Sb 0.1008 0.5000 0.2500
S 0.0372 0.2398 0.7273
S 0.2301 0.0000 0.5075

***

Entry 5:
VASP calculation (PBE-GGA) on Cs2HfScS after structural relaxation.

## Properties
For the density of states at the Fermi level, the calculation gives 6.1 states/eV/f.u. Its uncorrected formation energy is 520 meV/atom. The raw total energy is -3.9034 eV per atom.

Lattice parameters (Å, degrees): 6.8850 6.8850 4.8116 90.00 90.00 90.00
Space group P4/mmm (No. 123)
Inequivalent atoms, fractional coordinates:
Cs 0.0000 0.5000 0.0000
Hf 0.0000 0.0000 0.5000
Sc 0.5000 0.5000 0.5000
S 0.5000 0.5000 0.0000

***

Entry 6:
VASP calculation (PBE-GGA) on Cs2HfSc2S6 after structural relaxation.

## Properties
For the density of states at the Fermi level, the calculation gives 0.0 states/eV/f.u. Its uncorrected formation energy is -1730 meV/atom. The raw total energy is -6.1924 eV per atom.

Lattice parameters (Å, degrees): 6.5466 11.3353 8.5074 90.00 105.21 90.00
Space group C2/m (No. 12)
Inequivalent atoms, fractional coordinates:
Cs 0.0000 0.1674 0.0000
Hf 0.0000 0.0000 0.5000
Sc 0.0000 0.3330 0.5000
S 0.2231 0.1635 0.6720
S 0.2297 0.5000 0.6714

***

Entry 7:
VASP calculation (PBE-GGA) on Cs4Sm3HfS8 after structural relaxation.

## Properties
For the density of states at the Fermi level, the calculation gives 4.3 states/eV/f.u. Its uncorrected formation energy is -1695 meV/atom. The raw total energy is -5.4787 eV per atom.

Lattice parameters (Å, degrees): 8.1760 8.1760 24.2426 90.00 90.00 120.00
Space group R-3m (No. 166, hexagonal axes)
Inequivalent atoms, fractional coordinates:
Cs 0.0000 0.0000 0.0000
Cs 0.0000 0.5000 0.0000
Sm 0.0000 0.5000 0.5000
Hf 0.0000 0.0000 0.5000
S 0.0000 0.0000 0.2296
S 0.0233 0.5117 0.2267